1.
La3Pr2Tm after structural relaxation, computed with PBE.

Cell lengths 6.413, 6.413, 12.017 Å; angles 90.00, 90.00, 120.00 degrees
Fractional coordinates of all 12 atoms:
1 La 0.000 0.329 0.250
2 La 0.000 0.671 0.750
3 La 0.329 0.000 0.250
4 La 0.329 0.329 0.750
5 La 0.671 0.000 0.750
6 La 0.671 0.671 0.250
7 Pr 0.333 0.667 0.000
8 Pr 0.333 0.667 0.500
9 Pr 0.667 0.333 0.000
10 Pr 0.667 0.333 0.500
11 Tm 0.000 0.000 0.000
12 Tm 0.000 0.000 0.500

Calculated values
Energy relative to the elements   0.022 eV per atom
Mass density   6.73 g/cm3
Calculated volume   35.665 Å³ per atom
Crystal system   hexagonal

2.
LiBSe2 after structural relaxation, computed with PBE.

Cell lengths 4.286, 6.194, 6.842 Å; angles 63.35, 82.63, 82.13 degrees
Fractional coordinates of all 8 atoms:
1 Li 0.008 0.341 0.334
2 Li 0.992 0.659 0.666
3 B 0.337 0.948 0.981
4 B 0.663 0.052 0.019
5 Se 0.013 0.196 0.758
6 Se 0.444 0.696 0.846
7 Se 0.556 0.304 0.154
8 Se 0.987 0.804 0.242

Calculated values
Mass density   3.64 g/cm3
Calculated volume   20.045 Å³ per atom
Crystal system   triclinic
E_form (uncorrected)   -469 meV/atom

3.
CsLaPb2Cl8 after structural relaxation, computed with PBE.

Cell lengths 6.767, 7.016, 9.269 Å; angles 89.79, 89.79, 89.00 degrees
Fractional coordinates of all 12 atoms:
1 Cs 0.000 0.000 0.000
2 La 0.000 0.000 0.500
3 Pb 0.500 0.500 0.247
4 Pb 0.500 0.500 0.753
5 Cl 0.245 0.834 0.290
6 Cl 0.245 0.834 0.709
7 Cl 0.255 0.319 0.499
8 Cl 0.276 0.392 0.002
9 Cl 0.724 0.608 0.998
10 Cl 0.745 0.681 0.501
11 Cl 0.755 0.166 0.291
12 Cl 0.755 0.166 0.710

Calculated values
Mass density   3.66 g/cm3
Calculated volume   36.664 Å³ per atom
Crystal system   triclinic
E_form (uncorrected)   -1686 meV/atom

4.
Tb2ScZn after structural relaxation, computed with PBE.

Cell lengths 5.253, 5.253, 3.664 Å; angles 90.00, 90.00, 90.00 degrees
Fractional coordinates of all 4 atoms:
1 Tb 0.000 0.500 0.000
2 Tb 0.500 0.000 0.000
3 Sc 0.000 0.000 0.500
4 Zn 0.500 0.500 0.500

Calculated values
Energy relative to the elements   -0.056 eV per atom
Mass density   7.03 g/cm3
Calculated volume   25.275 Å³ per atom
Crystal system   tetragonal

5.
DyPuMnFe after structural relaxation, computed with PBE.

Cell lengths 6.712, 6.712, 6.712 Å; angles 90.00, 90.00, 90.00 degrees
Fractional coordinates of all 16 atoms:
1 Dy 0.000 0.000 0.000
2 Dy 0.000 0.500 0.500
3 Dy 0.500 0.000 0.500
4 Dy 0.500 0.500 0.000
5 Pu 0.000 0.000 0.500
6 Pu 0.000 0.500 0.000
7 Pu 0.500 0.000 0.000
8 Pu 0.500 0.500 0.500
9 Mn 0.250 0.250 0.750
10 Mn 0.250 0.750 0.250
11 Mn 0.750 0.250 0.250
12 Mn 0.750 0.750 0.750
13 Fe 0.250 0.250 0.250
14 Fe 0.250 0.750 0.750
15 Fe 0.750 0.250 0.750
16 Fe 0.750 0.750 0.250

Calculated values
Energy relative to the elements   0.103 eV per atom
Mass density   11.36 g/cm3
Calculated volume   18.898 Å³ per atom
Crystal system   cubic

6.
ZrScSe after structural relaxation, computed with PBE.

Cell lengths 10.492, 3.505, 7.698 Å; angles 90.00, 118.97, 90.00 degrees
Fractional coordinates of all 12 atoms:
1 Zr 0.000 0.000 0.000
2 Zr 0.209 0.500 0.387
3 Zr 0.500 0.500 0.000
4 Zr 0.709 0.000 0.387
5 Sc 0.133 0.000 0.694
6 Sc 0.414 0.000 0.301
7 Sc 0.633 0.500 0.694
8 Sc 0.914 0.500 0.301
9 Se 0.231 0.500 0.022
10 Se 0.400 0.000 0.667
11 Se 0.731 0.000 0.022
12 Se 0.900 0.500 0.667

Calculated values
Mass density   5.77 g/cm3
Calculated volume   20.636 Å³ per atom
Crystal system   monoclinic
E_form (uncorrected)   -919 meV/atom

7.
ZrCoSnIr2 after structural relaxation, computed with PBE.

Cell lengths 4.835, 4.835, 4.495 Å; angles 90.00, 90.00, 90.00 degrees
Fractional coordinates of all 5 atoms:
1 Zr 0.000 0.000 0.000
2 Co 0.500 0.500 0.000
3 Sn 0.500 0.500 0.500
4 Ir 0.000 0.500 0.500
5 Ir 0.500 0.000 0.500

Calculated values
Energy relative to the elements   1.066 eV per atom
Mass density   10.32 g/cm3
Calculated volume   21.017 Å³ per atom
Crystal system   tetragonal

8.
MgCoTcNi after structural relaxation, computed with PBE.

Cell lengths 5.992, 5.992, 5.992 Å; angles 90.00, 90.00, 90.00 degrees
Fractional coordinates of all 16 atoms:
1 Mg 0.000 0.000 0.000
2 Mg 0.000 0.500 0.500
3 Mg 0.500 0.000 0.500
4 Mg 0.500 0.500 0.000
5 Co 0.250 0.250 0.750
6 Co 0.250 0.750 0.250
7 Co 0.750 0.250 0.250
8 Co 0.750 0.750 0.750
9 Tc 0.000 0.000 0.500
10 Tc 0.000 0.500 0.000
11 Tc 0.500 0.000 0.000
12 Tc 0.500 0.500 0.500
13 Ni 0.250 0.250 0.250
14 Ni 0.250 0.750 0.750
15 Ni 0.750 0.250 0.750
16 Ni 0.750 0.750 0.250

Calculated values
Energy relative to the elements   0.148 eV per atom
Mass density   7.41 g/cm3
Calculated volume   13.445 Å³ per atom
Crystal system   cubic

Calculated calculated total energy (Ry/atom), listed in the same order as above: -0.35135; -0.32035; -0.29524; -0.31402; -0.66434; -0.51745; -0.47111; -0.44571